Entry 1:
A relaxed Ba6NaIn2 crystal, computed with PBE.

```
Ba6NaIn2
1.0
-5.6297 6.1256 6.7296
5.6297 -6.1256 6.7296
5.6297 6.1256 -6.7296
Ba Na In
12 2 4
direct
0.0126 0.2312 0.7814 Ba
0.1863 0.2910 0.4773 Ba
0.1863 0.7090 0.8954 Ba
0.3260 0.0220 0.6960 Ba
0.3260 0.6301 0.3040 Ba
0.4497 0.2312 0.2186 Ba
0.5503 0.7688 0.7814 Ba
0.6740 0.3699 0.6960 Ba
0.6740 0.9780 0.3040 Ba
0.8137 0.2910 0.1046 Ba
0.8137 0.7090 0.5227 Ba
0.9874 0.7688 0.2186 Ba
0.0000 0.0000 0.0000 Na
0.5000 0.5000 0.0000 Na
0.1186 0.6186 0.5000 In
0.3591 0.0000 0.3591 In
0.6409 0.0000 0.6409 In
0.8814 0.3814 0.5000 In
```

Calculated values
**Energy relative to the lowest polymorph listed for this composition**: 0 meV/atom

***

Entry 2:
A relaxed Ba5NaIn3 crystal, computed with PBE.

```
Ba5NaIn3
1.0
10.7064 0.0000 0.0000
-5.3532 9.2720 0.0000
0.0000 0.0000 7.7963
Ba Na In
10 2 6
direct
0.0000 0.3077 0.2500 Ba
0.0000 0.6923 0.7500 Ba
0.3077 0.0000 0.2500 Ba
0.3077 0.3077 0.7500 Ba
0.3333 0.6667 0.0000 Ba
0.3333 0.6667 0.5000 Ba
0.6667 0.3333 0.0000 Ba
0.6667 0.3333 0.5000 Ba
0.6923 0.0000 0.7500 Ba
0.6923 0.6923 0.2500 Ba
0.0000 0.0000 0.0000 Na
0.0000 0.0000 0.5000 Na
0.0000 0.3601 0.7500 In
0.0000 0.6399 0.2500 In
0.3601 0.0000 0.7500 In
0.3601 0.3601 0.2500 In
0.6399 0.0000 0.2500 In
0.6399 0.6399 0.7500 In
```

***

Entry 3:
A relaxed Ba4NaIn3 crystal, computed with PBE.

```
Ba4NaIn3
1.0
12.1847 0.0000 0.0000
0.0000 8.7325 0.0000
0.0000 0.0000 6.0894
Ba Na In
8 2 6
direct
0.0000 0.2388 0.0000 Ba
0.0000 0.7612 0.0000 Ba
0.2500 0.2388 0.5002 Ba
0.2500 0.7612 0.5002 Ba
0.5000 0.2388 0.0000 Ba
0.5000 0.7612 0.0000 Ba
0.7500 0.2388 0.4998 Ba
0.7500 0.7612 0.4998 Ba
0.0000 0.5000 0.5000 Na
0.5000 0.5000 0.5000 Na
0.0000 0.0000 0.5000 In
0.2500 0.0000 0.0001 In
0.2500 0.5000 0.0011 In
0.5000 0.0000 0.5000 In
0.7500 0.0000 0.9999 In
0.7500 0.5000 0.9989 In
```

***

Entry 4:
A relaxed Ba8NaIn2 crystal, computed with PBE.

```
Ba8NaIn2
1.0
11.0727 -2.9911 0.0000
11.0727 2.9911 0.0000
-2.8790 0.0000 8.4461
Ba Na In
8 1 2
direct
0.0364 0.0364 0.2700 Ba
0.1989 0.1989 0.8100 Ba
0.3249 0.3249 0.5375 Ba
0.3982 0.3982 0.0265 Ba
0.6018 0.6018 0.9735 Ba
0.6751 0.6751 0.4625 Ba
0.8011 0.8011 0.1900 Ba
0.9636 0.9636 0.7300 Ba
0.5000 0.5000 0.5000 Na
0.1863 0.1863 0.2006 In
0.8137 0.8137 0.7994 In
```

Calculated values
**Energy relative to the lowest polymorph listed for this composition**: 0 meV/atom

***

Entry 5:
A relaxed Ba2NaIn crystal, computed with PBE.

```
Ba2NaIn
1.0
-2.7604 2.7604 12.2220
2.7604 -2.7604 12.2220
2.7604 2.7604 -12.2220
Ba Na In
4 2 2
direct
0.1144 0.6250 0.9894 Ba
0.3750 0.3644 0.4894 Ba
0.6356 0.1250 0.0106 Ba
0.8750 0.8856 0.5106 Ba
0.2500 0.7500 0.5000 Na
0.5000 0.5000 0.0000 Na
0.0000 0.0000 0.0000 In
0.7500 0.2500 0.5000 In
```

***

Entry 6:
A relaxed Ba5Na2In crystal, computed with PBE.

```
Ba5Na2In
1.0
-4.6886 4.6886 9.2520
4.6886 -4.6886 9.2520
4.6886 4.6886 -9.2520
Ba Na In
10 4 2
direct
0.0000 0.0000 0.0000 Ba
0.0168 0.5168 0.8485 Ba
0.1683 0.0168 0.5000 Ba
0.3317 0.8317 0.8485 Ba
0.4832 0.3317 0.5000 Ba
0.5000 0.5000 0.0000 Ba
0.5168 0.6683 0.5000 Ba
0.6683 0.1683 0.1515 Ba
0.8317 0.9832 0.5000 Ba
0.9832 0.4832 0.1515 Ba
0.1202 0.3798 0.5000 Na
0.3798 0.8798 0.2596 Na
0.6202 0.1202 0.7404 Na
0.8798 0.6202 0.5000 Na
0.2500 0.2500 0.0000 In
0.7500 0.7500 0.0000 In
```

***

no.,total energy (eV for the cell shown),magnetization (μB per cell),density (g/cm3)
1,-39.98,0.0,3.85
2,-42.40,0.0,4.52
3,-39.43,0.0,4.70
4,-23.95,0.0,4.01
5,-14.77,0.0,3.68
6,-31.03,0.0,3.46